Dy8YAl2: relaxed, PBE.

Summary:
Space group: No. 12
ρ: 7.27 Mg/m³
DFT total energy: -4.61 eV per atom

Lattice parameters (Å, degrees): 5.5761 8.5349 8.5349 118.07 101.69 101.69
Closest atoms and distances in Å follow each position.
Sites, in units of the cell vectors:
Al1 0.0000 0.6920 0.3080  8 Dy 3.05-3.23
Al2 0.0000 0.3080 0.6920  8 Dy 3.05-3.23
Y1 0.5000 0.0000 0.0000  8 Dy 3.28-3.62
Dy1 0.7042 0.4047 0.4047  2 Dy 3.05-3.32, 2 Al 3.20, 1 Y 3.28
Dy2 0.1117 0.3257 0.0880  2 Al 3.07-3.23, 1 Dy 3.34
Dy3 0.8883 0.9120 0.6743  2 Al 3.07-3.23, 1 Dy 3.34
Dy4 0.2958 0.5953 0.5953  2 Dy 3.05-3.32, 2 Al 3.20, 1 Y 3.28
Dy5 0.5000 0.7758 0.2242  2 Al 3.05, 1 Y 3.28
Dy6 0.1117 0.0880 0.3257  2 Al 3.07-3.23, 1 Dy 3.34
Dy7 0.8883 0.6743 0.9120  2 Al 3.07-3.23, 1 Dy 3.34
Dy8 0.5000 0.2242 0.7758  2 Al 3.05, 1 Y 3.28